Entry 1:
PmPrErCu | PBE-GGA | relaxed

E_tot = -18.55 eV for the cell shown
Calculated density = 7.7 Mg/m³

Cell: 3.5637 3.5637 8.7758 Å, 90.00 90.00 90.00°
Closest atoms and distances in Å follow each position.
Space group P4mm (No. 99)
Asymmetric unit:
Pm 0.0000 0.0000 0.0000 x1  4 Cu 3.12, 1 Er 3.37
Pr 0.5000 0.5000 0.3134 x1  4 Pr 3.56, 4 Er 3.66, 4 Pm 3.73
Er 0.0000 0.0000 0.6158 x1  4 Cu 2.95
Cu 0.5000 0.5000 0.7900 x1  4 Er 2.95, 4 Pm 3.12

---

Entry 2:
TaTiRu | PBE-GGA | relaxed

Polymorph energy (0 for the lowest one) = 312 meV/atom
E_tot = -115.94 eV for the cell shown
Calculated density = 9.7 Mg/m³

Cell: 8.6309 4.2973 6.0967 Å, 90.00 90.00 90.00°
Closest atoms and distances in Å follow each position.
Space group Pnma (No. 62)
Asymmetric unit:
Ta 0.1265 0.2500 0.0018 x4  4 Ru 2.63-2.64
Ti 0.1232 0.2500 0.5020 x4  4 Ru 2.64-2.65
Ru 0.1251 0.7500 0.7525 x4  4 Ta 2.63-2.64, 4 Ti 2.64-2.65

---

Entry 3:
ZnSb2P | PBE-GGA | relaxed

Polymorph energy (0 for the lowest one) = 0 meV/atom
Formation energy (no corrections) = 0.09 eV per atom
E_tot = -14.56 eV for the cell shown
Calculated density = 6.0 Mg/m³

Cell: 3.6806 5.5625 4.6181 Å, 90.00 90.09 90.00°
Closest atoms and distances in Å follow each position.
Space group Pm (No. 6)
Asymmetric unit:
Zn 0.0000 0.0000 0.0000 x1  6 Sb 2.81-3.05
Sb 0.4983 0.0000 0.5261 x1  2 P 2.79, 4 Zn 2.86-3.05
Sb 0.9974 0.5000 0.0821 x1  2 P 2.57, 2 Zn 2.81
P 0.4983 0.5000 0.4714 x1  4 Sb 2.57-2.79

---

Entry 4:
Ta2TiSb | PBE-GGA | relaxed

Formation energy (no corrections) = -0.13 eV per atom
E_tot = -36.23 eV for the cell shown
Calculated density = 12.0 Mg/m³

Cell: 4.0521 4.0521 4.4822 Å, 90.00 90.00 90.00°
Closest atoms and distances in Å follow each position.
Space group P4/mmm (No. 123)
Asymmetric unit:
Ta 0.0000 0.5000 0.0000 x2  4 Ta 2.87, 4 Sb 3.02, 4 Ti 3.02
Ti 0.0000 0.0000 0.5000 x1  4 Sb 2.87, 8 Ta 3.02
Sb 0.5000 0.5000 0.5000 x1  4 Ti 2.87, 8 Ta 3.02

---

Entry 5:
Ag3PbF9 | PBE-GGA | relaxed

Formation energy (no corrections) = -1.42 eV per atom
E_tot = -190.44 eV for the cell shown
Calculated density = 5.1 Mg/m³

Cell: 17.1291 5.4932 11.8550 Å, 90.00 125.05 90.00°
Closest atoms and distances in Å follow each position.
Space group Cc (No. 9)
Asymmetric unit:
Ag 0.0000 0.0611 0.0000 x4  2 F 2.10-2.25
Ag 0.0759 0.3658 0.7693 x4  4 F 2.03-2.18
Ag 0.2332 0.2185 0.2495 x4  5 F 2.24-2.46
Pb 0.3544 0.2864 0.6224 x4  6 F 2.08-2.16
F 0.0661 0.1579 0.9021 x4  2 Ag 2.03-2.10
F 0.0894 0.4134 0.1408 x4  2 Ag 2.06-2.29
F 0.1402 0.0880 0.7299 x4  2 Ag 2.08-2.24
F 0.2257 0.4254 0.4529 x4  1 Pb 2.10
F 0.2879 0.0127 0.1413 x4  1 Pb 2.08, 1 Ag 2.28
F 0.3505 0.4880 0.7746 x4  1 Pb 2.15
F 0.3708 0.1129 0.4763 x4  1 Pb 2.13
F 0.4300 0.4269 0.1013 x4  1 Pb 2.14, 1 Ag 2.25
F 0.4902 0.1378 0.7862 x4  1 Pb 2.16, 1 Ag 2.18

---

Entry 6:
Si2AsIr | PBE-GGA | relaxed

Formation energy (no corrections) = 0.38 eV per atom
E_tot = -22.84 eV for the cell shown
Calculated density = 8.7 Mg/m³

Cell: 4.1681 4.1681 3.5433 Å, 90.00 90.00 90.00°
Closest atoms and distances in Å follow each position.
Space group P4/mmm (No. 123)
Asymmetric unit:
Si 0.0000 0.5000 0.0000 x2  4 As 2.74, 4 Ir 2.74, 4 Si 2.95
As 0.0000 0.0000 0.5000 x1  8 Si 2.74, 4 Ir 2.95
Ir 0.5000 0.5000 0.5000 x1  8 Si 2.74, 4 As 2.95

---

Entry 7:
Np2FeTc | PBE-GGA | relaxed

Polymorph energy (0 for the lowest one) = 32 meV/atom
E_tot = -174.99 eV for the cell shown
Calculated density = 14.2 Mg/m³

Cell: 6.6467 6.6467 6.6467 Å, 90.00 90.00 90.00°
Closest atoms and distances in Å follow each position.
Space group Fm-3m (No. 225)
Asymmetric unit:
Np 0.2500 0.2500 0.2500 x8  4 Fe 2.88, 4 Tc 2.88
Fe 0.0000 0.0000 0.0000 x4  8 Np 2.88
Tc 0.0000 0.0000 0.5000 x4  8 Np 2.88

---

Entry 8:
LiUPb2 | PBE-GGA | relaxed

E_tot = -20.45 eV for the cell shown
Calculated density = 10.9 Mg/m³

Cell: 3.2673 3.2673 9.4248 Å, 90.00 90.00 90.00°
Closest atoms and distances in Å follow each position.
Space group P4/mmm (No. 123)
Asymmetric unit:
Li 0.0000 0.0000 0.0000 x1  8 Pb 3.17, 4 Li 3.27
U 0.0000 0.0000 0.5000 x1  4 U 3.27, 8 Pb 3.43
Pb 0.5000 0.5000 0.2305 x2  4 Li 3.17, 4 Pb 3.27, 4 U 3.43